# 1
This record from Alexandria describes a geometry-optimized ErGe4Pd4 structure. The functional is GGA-PBE.

```
data_ErGe4Pd4
_chemical_formula_sum 'Er2 Ge8 Pd8'
_cell_length_a 6.232
_cell_length_b 6.232
_cell_length_c 8.350
_cell_angle_alpha 90.00
_cell_angle_beta 90.00
_cell_angle_gamma 90.00
_space_group_name_H-M_alt 'P 42/n m c'
_space_group_IT_number 137
loop_
_space_group_symop_operation_xyz
'x,y,z'
'-x,-y,-z'
'-y+1/2,x,z+1/2'
'y+1/2,-x,-z+1/2'
'-x+1/2,-y+1/2,z'
'x+1/2,y+1/2,-z'
'y,-x+1/2,z+1/2'
'-y,x+1/2,-z+1/2'
'x+1/2,-y,-z'
'-x+1/2,y,z'
'-y,-x,-z+1/2'
'y,x,z+1/2'
'-x,y+1/2,-z'
'x,-y+1/2,z'
'y+1/2,x+1/2,-z+1/2'
'-y+1/2,-x+1/2,z+1/2'
loop_
_atom_site_label
_atom_site_type_symbol
_atom_site_fract_x
_atom_site_fract_y
_atom_site_fract_z
_atom_site_occupancy
Er1 Er 0.250 0.750 0.250 1
Ge1 Ge 0.025 0.250 0.050 1
Pd1 Pd 0.028 0.250 0.346 1
```

N(E_F) (states/eV/cell): 10.1
Final energy (eV per cell): -96.21
Energy relative to the elements (meV/atom): -478

---

# 2
This record from Alexandria describes a geometry-optimized Pr2Dy3Sn2 structure. The functional is GGA-PBE.

```
data_Pr2Dy3Sn2
_chemical_formula_sum 'Pr4 Dy6 Sn4'
_cell_length_a 12.180
_cell_length_b 4.507
_cell_length_c 8.632
_cell_angle_alpha 90.00
_cell_angle_beta 110.39
_cell_angle_gamma 90.00
_space_group_name_H-M_alt 'C 1 2/m 1'
_space_group_IT_number 12
_space_group_name_Hall '-C 2y'
loop_
_atom_site_label
_atom_site_type_symbol
_atom_site_fract_x
_atom_site_fract_y
_atom_site_fract_z
_atom_site_occupancy
Pr1 Pr 0.137 0.000 0.293 1
Dy1 Dy 0.000 0.500 0.500 1
Dy2 Dy 0.127 0.500 0.942 1
Sn1 Sn 0.167 0.000 0.704 1
```

N(E_F) (states/eV/cell): 17.7
Final energy (eV per cell): -69.23
Energy relative to the elements (meV/atom): -463

---

# 3
This record from Alexandria describes a geometry-optimized KPuOF2 structure. The functional is GGA-PBE.

```
data_KPuOF2
_chemical_formula_sum 'K1 Pu1 O1 F2'
_cell_length_a 4.751
_cell_length_b 4.751
_cell_length_c 4.362
_cell_angle_alpha 90.00
_cell_angle_beta 90.00
_cell_angle_gamma 90.00
_space_group_name_H-M_alt 'P 4 m m'
_space_group_IT_number 99
_space_group_name_Hall 'P 4 -2'
loop_
_atom_site_label
_atom_site_type_symbol
_atom_site_fract_x
_atom_site_fract_y
_atom_site_fract_z
_atom_site_occupancy
K1 K 0.000 0.000 0.000 1
Pu1 Pu 0.500 0.500 0.499 1
O1 O 0.500 0.500 0.999 1
F1 F 0.000 0.500 0.498 1
```

N(E_F) (states/eV/cell): 6.0
Formation energy from raw total energies (eV/atom): -2.9148
Final energy (eV per cell): -38.70

---

# 4
This record from Alexandria describes a geometry-optimized K3Zr2ScSe6 structure. The functional is GGA-PBE.

```
data_K3Zr2ScSe6
_chemical_formula_sum 'K6 Zr4 Sc2 Se12'
_cell_length_a 6.836
_cell_length_b 11.837
_cell_length_c 8.074
_cell_angle_alpha 90.00
_cell_angle_beta 106.40
_cell_angle_gamma 90.00
_space_group_name_H-M_alt 'C 1 2/m 1'
_space_group_IT_number 12
_space_group_name_Hall '-C 2y'
loop_
_atom_site_label
_atom_site_type_symbol
_atom_site_fract_x
_atom_site_fract_y
_atom_site_fract_z
_atom_site_occupancy
K1 K 0.000 0.000 0.000 1
K2 K 0.000 0.333 0.000 1
Zr1 Zr 0.000 0.166 0.500 1
Sc1 Sc 0.000 0.500 0.500 1
Se1 Se 0.233 0.334 0.702 1
Se2 Se 0.235 0.000 0.702 1
```

N(E_F) (states/eV/cell): 12.4
Formation energy from raw total energies (eV/atom): -1.4213
Final energy (eV per cell): -129.37